[1]
The following is a PBE calculation of an optimized crystal structure of Nb2MoOs, from the Alexandria database.

Unit cell a=6.4171 b=6.4171 c=6.4171 alpha=90.00 beta=90.00 gamma=90.00
Last column: nearest neighbours and their distance in Å.
Space group Fm-3m (No. 225)
Asymmetric unit:
Nb1 0.2500 0.2500 0.2500 (multiplicity 8)  4 Mo 2.78, 4 Os 2.78
Mo1 0.0000 0.0000 0.0000 (multiplicity 4)  8 Nb 2.78
Os1 0.0000 0.0000 0.5000 (multiplicity 4)  8 Nb 2.78

* calculated formation energy: -25.6 kJ per mole of atoms
* electronic total energy: -173.052 eV per cell
* total magnetization: 0.000 μB per atom

***

[2]
The following is a PBE calculation of an optimized crystal structure of NbMoOs2, from the Alexandria database.

Unit cell a=3.9980 b=3.9980 c=3.9123 alpha=90.00 beta=90.00 gamma=90.00
Last column: nearest neighbours and their distance in Å.
Space group P4/mmm (No. 123)
Asymmetric unit:
Nb1 0.0000 0.0000 0.0000 (multiplicity 1)  8 Os 2.80, 4 Mo 2.83
Mo1 0.5000 0.5000 0.0000 (multiplicity 1)  8 Os 2.80, 4 Nb 2.83
Os1 0.0000 0.5000 0.5000 (multiplicity 2)  4 Nb 2.80, 4 Mo 2.80, 4 Os 2.83

* E above lowest polymorph: 0.000 eV per atom
* calculated formation energy: 0.9 kJ per mole of atoms
* electronic total energy: -43.323 eV per cell
* total magnetization: 0.000 μB per atom